First-principles (GGA+U) data for crystalline CsMn2V2ClO7 at its relaxed geometry, as listed in Alexandria via LeMat-Bulk.

Cell lengths 15.194, 5.650, 5.406 Å; angles 90.00, 90.00, 90.00 degrees
Fractional coordinates of all 26 atoms:
Cs 0.250 0.041 0.000
Cs 0.750 0.959 0.000
Mn 0.000 0.000 0.404
Mn 0.000 0.500 0.021
Mn 0.500 0.000 0.404
Mn 0.500 0.500 0.021
V 0.136 0.517 0.494
V 0.364 0.517 0.494
V 0.636 0.483 0.494
V 0.864 0.483 0.494
Cl 0.000 0.000 0.885
Cl 0.500 0.000 0.885
O 0.069 0.324 0.325
O 0.113 0.502 0.803
O 0.119 0.800 0.391
O 0.250 0.427 0.444
O 0.381 0.800 0.391
O 0.387 0.502 0.803
O 0.431 0.324 0.325
O 0.569 0.676 0.325
O 0.613 0.498 0.803
O 0.619 0.200 0.391
O 0.750 0.573 0.444
O 0.881 0.200 0.391
O 0.887 0.498 0.803
O 0.931 0.676 0.325

Summary:
- Density of states at the Fermi level: 0.000 states/eV per atom
- Electronic total energy: -91.800 eV per formula unit